Entry 1:
DFT (PBE) results for a relaxed structure of Sm2DyTm2Mg5.

Cell: 5.0563 10.5730 10.5730 Å, 90.00 90.00 90.00°
Fractional positions:
Sm: 0.0000 0.3223 0.8223
Sm: 0.0000 0.6777 0.1777
Sm: 0.0000 0.1777 0.3223
Sm: 0.0000 0.8223 0.6777
Mg: 0.5000 0.1988 0.0694
Mg: 0.5000 0.8012 0.9306
Mg: 0.5000 0.9306 0.1988
Mg: 0.5000 0.0000 0.5000
Mg: 0.5000 0.5694 0.6988
Mg: 0.5000 0.4306 0.3012
Mg: 0.5000 0.5000 0.0000
Mg: 0.5000 0.0694 0.8012
Mg: 0.5000 0.3012 0.5694
Mg: 0.5000 0.6988 0.4306
Tm: 0.0000 0.1186 0.6186
Tm: 0.0000 0.3814 0.1186
Tm: 0.0000 0.6186 0.8814
Tm: 0.0000 0.8814 0.3814
Dy: 0.0000 0.5000 0.5000
Dy: 0.0000 0.0000 0.0000

formation energy from the elements: 47.2 meV/atom
SG: P4/mbm (127)
volume: 565 Å³/cell

---

Entry 2:
DFT (PBE) results for a relaxed structure of MoRhSe2.

Cell: 6.8168 5.8418 2.7314 Å, 62.07 113.70 132.64°
Fractional positions:
Rh: 0.5000 0.5000 0.0000
Se: 0.0000 0.0000 0.0000
Se: 0.5000 0.0000 0.5000
Mo: 0.0000 0.5000 0.5000

formation energy without anion corrections: 0.290 eV per atom
energy above the lowest structure with this stoichiometry: 0.464 eV per atom
SG: Cmmm (65)
volume: 70 Å³/cell

---

For each record above, in turn, the calculated M_tot values are 0.00 0.00 μB per cell.